# Mg2NpMoO6 | the Alexandria database | GGA+U | relaxed
data_Mg2NpMoO6
_space_group_name_H-M_alt 'R 3'
_space_group_IT_number 146
_space_group_name_Hall 'R 3'
_cell_length_a 5.4104
_cell_length_b 5.4104
_cell_length_c 14.6037
_cell_angle_alpha 90.00
_cell_angle_beta 90.00
_cell_angle_gamma 120.00
loop_
_atom_site_label
_atom_site_fract_x
_atom_site_fract_y
_atom_site_fract_z
_atom_site_occupancy
Mg1 0.0000 0.0000 0.0000 1
Mg2 0.0000 0.0000 0.4994 1
Np1 0.0000 0.0000 0.7064 1
Mo1 0.0000 0.0000 0.2051 1
O1 0.0024 0.6989 0.6091 1
O2 0.0051 0.3049 0.1087 1
# volume: 370.2 Å³/cell
# ρ: 6.4 Mg/m³
# magnetic moment: 0.500 μB per atom
# electronic total energy: -7.783 eV/atom